(1)
Zr2ZnF (meta-GGA SCAN, PBEsol geometry); SG = Fm-3m; total magnetic moment = 0.0 μB/cell; raw formation energy = -270 kJ/mol of formula units
1.0
4.534 0.000 0.000
2.267 3.926 0.000
2.267 1.309 3.702
Zr F Zn
2 1 1
direct
0.750 0.750 0.750
0.250 0.250 0.250
0.000 0.000 0.000
0.500 0.500 0.500

---

(2)
La2BrCl (meta-GGA SCAN, PBEsol geometry); SG = Immm; total magnetic moment = 0.0 μB/cell; raw formation energy = -576 kJ/mol of formula units
1.0
3.603 0.000 0.000
1.802 5.765 0.039
1.802 2.245 5.309
La Cl Br
2 1 1
direct
0.262 0.738 0.738
0.738 0.262 0.262
0.000 0.500 0.500
0.500 0.000 0.000

---

(3)
SrAgAu2 (meta-GGA SCAN, PBEsol geometry); SG = P4mm; total magnetic moment = 0.0 μB/cell; ΔH_f (0 K) = -372 meV/atom
1.0
3.689 0.000 0.000
0.000 3.689 0.000
0.000 0.000 6.313
Sr Au Ag
1 2 1
direct
0.000 0.000 0.489
0.500 0.500 0.224
0.000 0.000 0.987
0.500 0.500 0.799

---

(4)
OsRu2 (meta-GGA SCAN, PBEsol geometry); SG = C2/m; total magnetic moment = 0.0 μB/cell; ΔH_f (0 K) = -12 meV/atom
1.0
2.703 0.000 0.000
-1.351 4.869 -0.002
0.000 -1.494 6.157
Ru Os
4 2
direct
0.639 0.277 0.527
0.361 0.723 0.473
0.694 0.388 0.139
0.306 0.612 0.861
0.972 0.944 0.194
0.028 0.056 0.806

---

(5)
MnSbSe2Br (meta-GGA SCAN, PBEsol geometry); SG = P4/mmm; total magnetic moment = 5.4 μB/cell; raw formation energy = 109 kJ/mol of formula units
1.0
-2.790 3.652 -2.658
-3.144 0.673 4.225
3.236 3.787 1.806
Sb Br Se Mn
1 1 2 1
direct
0.000 0.000 0.000
0.000 0.000 0.500
0.000 0.500 0.000
0.500 0.000 0.000
0.500 0.500 0.500

---

(6)
GeTeC3 (meta-GGA SCAN, PBEsol geometry); SG = Pm-3m; total magnetic moment = 0.0 μB/cell; raw formation energy = 1262 kJ/mol of formula units
1.0
3.995 0.000 0.000
0.000 3.995 0.000
0.000 0.000 3.995
Te Ge C
1 1 3
direct
0.500 0.500 0.500
0.000 0.000 0.000
0.000 0.500 0.000
0.000 0.000 0.500
0.500 0.000 0.000

---

(7)
Al2PbSeCl (meta-GGA SCAN, PBEsol geometry); SG = P4/mmm; total magnetic moment = 0.0 μB/cell; raw formation energy = 241 kJ/mol of formula units
1.0
-4.703 -1.713 -0.347
0.381 -0.032 -5.003
1.701 -4.701 0.159
Se Pb Al Cl
1 1 2 1
direct
0.000 0.000 0.500
0.500 0.500 0.500
0.000 0.500 0.000
0.500 0.000 0.000
0.000 0.000 0.000

---

(8)
ZnCu3P4O14 (meta-GGA SCAN, PBEsol geometry); SG = P2_1/c; total magnetic moment = 6.1 μB/cell; raw formation energy = -4077 kJ/mol of formula units
1.0
-5.442 -2.513 3.751
4.422 -0.006 6.411
-0.465 9.231 0.330
Cu O P Zn
6 28 8 2
direct
0.172 0.135 0.503
0.000 0.500 0.500
0.828 0.635 0.997
0.828 0.865 0.497
0.172 0.365 0.003
0.000 0.000 0.000
0.643 0.573 0.372
0.334 0.641 0.828
0.994 0.096 0.622
0.994 0.404 0.122
0.357 0.427 0.628
0.848 0.106 0.125
0.666 0.141 0.672
0.357 0.073 0.128
0.027 0.712 0.626
0.351 0.987 0.644
0.351 0.513 0.144
0.346 0.182 0.380
0.152 0.894 0.875
0.006 0.596 0.878
0.027 0.788 0.126
0.152 0.606 0.375
0.346 0.318 0.880
0.654 0.682 0.120
0.973 0.288 0.374
0.666 0.359 0.172
0.973 0.212 0.874
0.848 0.394 0.625
0.649 0.487 0.856
0.334 0.859 0.328
0.654 0.818 0.620
0.006 0.904 0.378
0.649 0.013 0.356
0.643 0.927 0.872
0.572 0.541 0.198
0.885 0.216 0.698
0.115 0.784 0.302
0.115 0.716 0.802
0.428 0.459 0.802
0.885 0.284 0.198
0.428 0.041 0.302
0.572 0.959 0.698
0.500 0.500 0.500
0.500 0.000 0.000

---

(9)
Li2YAu2 (meta-GGA SCAN, PBEsol geometry); SG = I4/mmm; total magnetic moment = 0.0 μB/cell; ΔH_f (0 K) = -784 meV/atom
1.0
-1.780 3.103 -1.159
-3.294 -1.517 0.996
3.165 1.841 6.169
Y Li Au
1 2 2
direct
0.000 0.000 0.000
0.250 0.750 0.500
0.750 0.250 0.500
0.394 0.394 0.787
0.606 0.606 0.213

---

(10)
MgZnP3 (meta-GGA SCAN, PBEsol geometry); SG = Pm-3m; total magnetic moment = 0.0 μB/cell; ΔH_f (0 K) = 776 meV/atom
1.0
4.606 0.000 0.000
0.000 4.606 0.000
0.000 0.000 4.606
Mg P Zn
1 3 1
direct
0.500 0.500 0.500
0.500 0.000 0.000
0.000 0.000 0.500
0.000 0.500 0.000
0.000 0.000 0.000

---

(11)
BaYPb2 (meta-GGA SCAN, PBEsol geometry); SG = P4mm; total magnetic moment = 0.2 μB/cell; ΔH_f (0 K) = -327 meV/atom
1.0
4.385 0.000 0.000
0.000 4.385 0.000
0.000 0.000 7.185
Pb Y Ba
2 1 1
direct
0.500 0.500 0.297
0.000 0.000 0.009
0.000 0.000 0.420
0.500 0.500 0.774

---

(12)
SiS2Br (meta-GGA SCAN, PBEsol geometry); SG = R-3m; total magnetic moment = 0.0 μB/cell; raw formation energy = -119 kJ/mol of formula units
1.0
3.201 0.000 0.000
1.600 2.772 0.000
1.600 0.924 10.800
S Si Br
2 1 1
direct
0.875 0.875 0.376
0.125 0.125 0.624
0.500 0.500 0.500
0.000 0.000 0.000